Entry 1:
The following is a PBE calculation of a geometry-optimized Ba2CdRu structure, from Alexandria.

Lattice parameters (Å, degrees): 9.8088 9.8088 9.8088 24.69 24.69 24.69
Fractional coordinates of all 4 atoms:
Ba1 0.2344 0.2344 0.2344
Ba2 0.7656 0.7656 0.7656
Cd1 0.0000 0.0000 0.0000
Ru1 0.5000 0.5000 0.5000

Results
symmetry: R-3m (166)
density: 5597 kg/m³
E_form: 1.706 eV/f.u.
magnetization: 0.56 μB per formula unit



Entry 2:
The following is a PBE calculation of a geometry-optimized CaFeCu2 structure, from Alexandria.

Lattice parameters (Å, degrees): 5.3860 5.3860 5.3860 147.07 129.24 61.84
Fractional coordinates of all 4 atoms:
Ca1 0.0000 0.0000 0.0000
Fe1 0.7184 0.2184 0.5000
Cu1 0.2769 0.7769 0.5000
Cu2 0.4938 0.4938 0.0000

Results
symmetry: Imm2 (44)
density: 5686 kg/m³
E_form: 1.411 eV/f.u.
magnetization: 2.58 μB per formula unit



Entry 3:
The following is a PBE calculation of a geometry-optimized Ta2MnCu structure, from Alexandria.

Lattice parameters (Å, degrees): 5.5543 5.5543 5.5543 103.57 103.57 122.06
Fractional coordinates of all 8 atoms:
Ta1 0.1054 0.1250 0.4804
Ta2 0.3750 0.8946 0.0196
Ta3 0.6446 0.6250 0.5196
Ta4 0.8750 0.3554 0.9804
Mn1 0.0000 0.0000 0.0000
Mn2 0.7500 0.2500 0.5000
Cu1 0.2500 0.7500 0.5000
Cu2 0.5000 0.5000 0.0000

Results
symmetry: I-42d (122)
density: 12557 kg/m³
E_form: 2.246 eV/f.u.
magnetization: 0.00 μB per formula unit



Entry 4:
The following is a PBE calculation of a geometry-optimized InSb2P structure, from Alexandria.

Lattice parameters (Å, degrees): 3.7459 4.8748 5.2776 90.00 90.00 90.00
Fractional coordinates of all 4 atoms:
In1 0.0000 0.0000 0.0000
Sb1 0.0000 0.5000 0.5000
Sb2 0.5000 0.5000 0.0000
P1 0.5000 0.0000 0.5000

Results
energy above the lowest structure with this stoichiometry: 1.05 eV/f.u.
symmetry: Pmmm (47)
E_form (uncorrected): 0.354 eV per atom
density: 6708 kg/m³
magnetization: 0.00 μB per formula unit